DFT (PBE) results for a geometry-optimized ZrMn2Re structure.

Output
Its space group is I-4m2 (119). Its relative energy among the computed polymorphs is 19.8 kJ per mole of atoms. The energy of formation is 0.2451 eV per atom.

abc: 5.1069 5.1069 5.1069
angles: 137.39 137.39 61.83
Last column: nearest neighbours and their distance in Å.
Fractional coordinates of all 4 atoms:
Mn 0.2500 0.7500 0.5000  4 Zr 2.62, 4 Re 2.87, 4 Mn 2.87
Mn 0.0000 0.0000 0.0000  4 Re 2.62, 4 Mn 2.87, 4 Zr 2.87
Re 0.5000 0.5000 0.0000  8 Mn 2.62-2.87, 4 Zr 2.87
Zr 0.7500 0.2500 0.5000  8 Mn 2.62-2.87, 4 Re 2.87